(a)
VASP calculation (PBE) on a geometry-optimized MnOs2Ru structure.

Its density is 15.98 Mg/m³. The calculation puts the total magnetization at 2.97 μB/f.u.

The space group is Imm2 (No. 44) and the conventional cell measures 2.8751, 4.3515 and 8.9104 Å, with angles of 90.00, 90.00 and 90.00 degrees. The asymmetric unit holds Mn at (0.0000, 0.0000, 0.0000), Os at (0.0000, 0.0000, 0.5031), Os at (0.0000, 0.5000, 0.2731) and Ru at (0.0000, 0.5000, 0.7260).

---

(b)
VASP calculation (PBE) on a geometry-optimized MnOs2Ru structure.

Its density is 16.34 Mg/m³. The calculation puts the total magnetization at 1.23 μB/f.u.

The space group is I4/mmm (No. 139) and the conventional cell measures 3.7848, 3.7848 and 7.6110 Å, with angles of 90.00, 90.00 and 90.00 degrees. The asymmetric unit holds Mn at (0.0000, 0.0000, 0.0000), Os at (0.0000, 0.5000, 0.2500) and Ru at (0.0000, 0.0000, 0.5000).

---

(c)
VASP calculation (PBE) on a geometry-optimized MnOs2Ru structure.

Its density is 16.21 Mg/m³. The calculation puts the total magnetization at 1.78 μB/f.u.

The space group is C2/m (No. 12) and the conventional cell measures 8.8822, 2.6981 and 4.6551 Å, with angles of 90.00, 99.96 and 90.00 degrees. The asymmetric unit holds Mn at (0.0000, 0.0000, 0.0000), Os at (0.2497, 0.0000, 0.7530) and Ru at (0.0000, 0.5000, 0.5000).

---

(d)
VASP calculation (PBE) on a geometry-optimized MnOs2Ru structure.

Its density is 16.50 Mg/m³. The calculation puts the total magnetization at 0.88 μB/f.u.

The space group is P4/mmm (No. 123) and the conventional cell measures 2.6814, 2.6814 and 7.5088 Å, with angles of 90.00, 90.00 and 90.00 degrees. The asymmetric unit holds Mn at (0.0000, 0.0000, 0.0000), Os at (0.5000, 0.5000, 0.2399) and Ru at (0.0000, 0.0000, 0.5000).

---

Stability check: which of them is least stable? (a).

---

(a)
VASP calculation (PBE) on a geometry-optimized MnOs2Ru structure.

Its density is 15.63 Mg/m³. The calculation puts the total magnetization at 3.29 μB/f.u.

The space group is Cmm2 (No. 35) and the conventional cell measures 2.7919, 4.5494 and 8.9726 Å, with angles of 90.00, 90.00 and 90.00 degrees. The asymmetric unit holds Mn at (0.0000, 0.0000, 0.0000), Os at (0.0000, 0.0000, 0.4980), Os at (0.0000, 0.5000, 0.7593) and Ru at (0.0000, 0.5000, 0.2403).

---

(b)
VASP calculation (PBE) on a geometry-optimized MnOs2Ru structure.

Its density is 16.20 Mg/m³. The calculation puts the total magnetization at 0.03 μB/f.u.

The space group is Fm-3m (No. 225) and the conventional cell measures 6.0370, 6.0370 and 6.0370 Å, with angles of 90.00, 90.00 and 90.00 degrees. The asymmetric unit holds Mn at (0.0000, 0.0000, 0.0000), Os at (0.2500, 0.2500, 0.2500) and Ru at (0.0000, 0.0000, 0.5000).

---

(c)
VASP calculation (PBE) on a geometry-optimized MnOs2Ru structure.

Its density is 16.29 Mg/m³. The calculation puts the total magnetization at 1.52 μB/f.u.

The space group is Cmmm (No. 65) and the conventional cell measures 5.3553, 7.5902 and 2.6908 Å, with angles of 90.00, 90.00 and 90.00 degrees. The asymmetric unit holds Mn at (0.0000, 0.0000, 0.0000), Os at (0.2500, 0.2500, 0.5000) and Ru at (0.0000, 0.5000, 0.0000).

---

(d)
VASP calculation (PBE) on a geometry-optimized MnOs2Ru structure.

Its density is 16.39 Mg/m³. The calculation puts the total magnetization at 0.00 μB/f.u.

The space group is Amm2 (No. 38) and the conventional cell measures 4.1039, 2.7009 and 9.8083 Å, with angles of 90.00, 90.00 and 90.00 degrees. The asymmetric unit holds Mn at (0.0000, 0.0000, 0.0000), Os at (0.0000, 0.0000, 0.7396), Os at (0.5000, 0.0000, 0.1294) and Ru at (0.5000, 0.0000, 0.3972).

---

Stability check: which of them is least stable? (b).

---

(a)
VASP calculation (PBE) on a geometry-optimized MnOs3Ru structure.

Its density is 14.56 Mg/m³. The calculation puts the total magnetization at 0.48 μB/f.u.

The space group is Pm-3m (No. 221) and the conventional cell measures 4.3597, 4.3597 and 4.3597 Å, with angles of 90.00, 90.00 and 90.00 degrees. The asymmetric unit holds Mn at (0.0000, 0.0000, 0.0000), Os at (0.0000, 0.0000, 0.5000) and Ru at (0.5000, 0.5000, 0.5000).

---

(b)
VASP calculation (PBE) on a geometry-optimized MnOs3Ru structure.

Its density is 17.50 Mg/m³. The calculation puts the total magnetization at 0.00 μB/f.u.

The space group is C2/m (No. 12) and the conventional cell measures 13.6246, 4.1056 and 5.3577 Å, with angles of 90.00, 113.04 and 90.00 degrees. The asymmetric unit holds Mn at (0.2080, 0.0000, 0.4578), Os at (0.0057, 0.0000, 0.2557), Os at (0.1115, 0.5000, 0.6059), Os at (0.1988, 0.0000, 0.9503) and Ru at (0.1122, 0.5000, 0.1182).

---

Stability check: which of them is least stable? (a).

---

(a)
VASP calculation (PBE) on a geometry-optimized Mn2Os2Ru structure.

Its density is 14.89 Mg/m³. The calculation puts the total magnetization at 0.00 μB/f.u.

The space group is P4/mbm (No. 127) and the conventional cell measures 6.9806, 6.9806 and 2.7066 Å, with angles of 90.00, 90.00 and 90.00 degrees. The asymmetric unit holds Mn at (0.1219, 0.3781, 0.0000), Os at (0.1735, 0.6735, 0.5000) and Ru at (0.0000, 0.0000, 0.0000).

---

(b)
VASP calculation (PBE) on a geometry-optimized Mn2Os2Ru structure.

Its density is 14.29 Mg/m³. The calculation puts the total magnetization at 4.91 μB/f.u.

The space group is C2/m (No. 12) and the conventional cell measures 7.2320, 4.2788 and 9.3440 Å, with angles of 90.00, 108.05 and 90.00 degrees. The asymmetric unit holds Mn at (0.0578, 0.0000, 0.1529), Mn at (0.1573, 0.0000, 0.4585), Os at (0.0198, 0.5000, 0.6378), Os at (0.1426, 0.5000, 0.9329) and Ru at (0.2448, 0.0000, 0.7628).

---

(c)
VASP calculation (PBE) on a geometry-optimized Mn2Os2Ru structure.

Its density is 14.57 Mg/m³. The calculation puts the total magnetization at 0.00 μB/f.u.

The space group is P4/mbm (No. 127) and the conventional cell measures 7.1058, 7.1058 and 2.6697 Å, with angles of 90.00, 90.00 and 90.00 degrees. The asymmetric unit holds Mn at (0.1688, 0.3312, 0.0000), Os at (0.1285, 0.6285, 0.5000) and Ru at (0.0000, 0.0000, 0.5000).

---

Stability check: which of them is least stable? (b).

---

(a)
VASP calculation (PBE) on a geometry-optimized Mn3OsRu structure.

Its density is 11.83 Mg/m³. The calculation puts the total magnetization at 0.60 μB/f.u.

The space group is P2_1/c (No. 14) and the conventional cell measures 6.5192, 6.8736 and 5.7521 Å, with angles of 90.00, 96.54 and 90.00 degrees. The asymmetric unit holds Mn at (0.0668, 0.1794, 0.4940), Mn at (0.0965, 0.5262, 0.3455), Mn at (0.3933, 0.5282, 0.1446), Os at (0.4163, 0.1828, 0.0051) and Ru at (0.2538, 0.6317, 0.7447).

---

(b)
VASP calculation (PBE) on a geometry-optimized Mn3OsRu structure.

Its density is 7.99 Mg/m³. The calculation puts the total magnetization at 8.65 μB/f.u.

The space group is Pm-3m (No. 221) and the conventional cell measures 4.5589, 4.5589 and 4.5589 Å, with angles of 90.00, 90.00 and 90.00 degrees. The asymmetric unit holds Mn at (0.0000, 0.0000, 0.5000), Os at (0.0000, 0.0000, 0.0000) and Ru at (0.5000, 0.5000, 0.5000).

---

Stability check: which of them is least stable? (b).

---

(a)
VASP calculation (PBE) on a geometry-optimized MnOs4Ru structure.

Its density is 18.49 Mg/m³. The calculation puts the total magnetization at 0.24 μB/f.u.

The space group is Pm (No. 6) and the conventional cell measures 2.7227, 4.2924 and 7.1772 Å, with angles of 90.00, 100.97 and 90.00 degrees. The asymmetric unit holds Mn at (0.0000, 0.0000, 0.0000), Os at (0.1060, 0.5000, 0.2158), Os at (0.3370, 0.0000, 0.6743), Os at (0.4445, 0.5000, 0.8924), Os at (0.6641, 0.0000, 0.3286) and Ru at (0.7775, 0.5000, 0.5583).

---

(b)
VASP calculation (PBE) on a geometry-optimized MnOs4Ru structure.

Its density is 16.25 Mg/m³. The calculation puts the total magnetization at 2.14 μB/f.u.

The space group is F-43m (No. 216) and the conventional cell measures 7.2102, 7.2102 and 7.2102 Å, with angles of 90.00, 90.00 and 90.00 degrees. The asymmetric unit holds Mn at (0.0000, 0.0000, 0.0000), Os at (0.1247, 0.1247, 0.6247) and Ru at (0.2500, 0.2500, 0.2500).

---

Stability check: which of them is least stable? (b).

---

(a)
VASP calculation (PBE) on a geometry-optimized Mn2OsRu2 structure.

Its density is 11.97 Mg/m³. The calculation puts the total magnetization at 0.01 μB/f.u.

The space group is I4/mmm (No. 139) and the conventional cell measures 3.4696, 3.4696 and 11.5755 Å, with angles of 90.00, 90.00 and 90.00 degrees. The asymmetric unit holds Mn at (0.0000, 0.5000, 0.2500), Os at (0.0000, 0.0000, 0.0000) and Ru at (0.0000, 0.0000, 0.3947).

---

(b)
VASP calculation (PBE) on a geometry-optimized Mn2OsRu2 structure.

Its density is 13.00 Mg/m³. The calculation puts the total magnetization at 0.00 μB/f.u.

The space group is P-1 (No. 2) and the conventional cell measures 4.5771, 4.9804 and 6.7613 Å, with angles of 71.83, 89.89 and 62.68 degrees. The asymmetric unit holds Mn at (0.0653, 0.2004, 0.0519), Mn at (0.2658, 0.7993, 0.4489), Os at (0.3202, 0.0000, 0.7499), Ru at (0.1375, 0.3938, 0.3492) and Ru at (0.4685, 0.3936, 0.8495).

---

(c)
VASP calculation (PBE) on a geometry-optimized Mn2OsRu2 structure.

Its density is 12.87 Mg/m³. The calculation puts the total magnetization at 0.00 μB/f.u.

The space group is P4/mbm (No. 127) and the conventional cell measures 6.9347, 6.9347 and 2.6954 Å, with angles of 90.00, 90.00 and 90.00 degrees. The asymmetric unit holds Mn at (0.1196, 0.3804, 0.0000), Os at (0.0000, 0.0000, 0.0000) and Ru at (0.1757, 0.6757, 0.5000).

---

(d)
VASP calculation (PBE) on a geometry-optimized Mn2OsRu2 structure.

Its density is 12.67 Mg/m³. The calculation puts the total magnetization at 0.00 μB/f.u.

The space group is P4/mbm (No. 127) and the conventional cell measures 7.0307, 7.0307 and 2.6626 Å, with angles of 90.00, 90.00 and 90.00 degrees. The asymmetric unit holds Mn at (0.1707, 0.3293, 0.0000), Os at (0.0000, 0.0000, 0.5000) and Ru at (0.1272, 0.6272, 0.5000).

---

Stability check: which of them is least stable? (a).

---

(a)
VASP calculation (PBE) on a geometry-optimized Mn4OsRu structure.

Its density is 11.90 Mg/m³. The calculation puts the total magnetization at 2.01 μB/f.u.

The space group is F-43m (No. 216) and the conventional cell measures 6.5828, 6.5828 and 6.5828 Å, with angles of 90.00, 90.00 and 90.00 degrees. The asymmetric unit holds Mn at (0.1255, 0.1255, 0.1255), Os at (0.2500, 0.2500, 0.7500) and Ru at (0.0000, 0.0000, 0.5000).

---

(b)
VASP calculation (PBE) on a geometry-optimized Mn4OsRu structure.

Its density is 11.06 Mg/m³. The calculation puts the total magnetization at 0.04 μB/f.u.

The space group is P2/m (No. 10) and the conventional cell measures 4.6092, 2.6501 and 6.4294 Å, with angles of 90.00, 102.29 and 90.00 degrees. The asymmetric unit holds Mn at (0.2353, 0.0000, 0.1616), Mn at (0.2644, 0.5000, 0.8386), Os at (0.5000, 0.5000, 0.5000) and Ru at (0.0000, 0.0000, 0.5000).

---

Stability check: which of them is least stable? (b).